# 1
## YSeF (GGA-PBE)

Data for crystalline YSeF at its relaxed geometry.

Its symmetry is Pnma (62). As for the total DFT energy (no corrections): -80.668 eV for the cell shown. The value obtained for the density of states at the Fermi level is 0.000 states/eV per atom.

Unit cell a=5.7285 b=5.8193 c=7.7236 alpha=90.00 beta=90.00 gamma=90.00
Closest atoms and distances in Å follow each position.
Fractional coordinates of all 12 atoms:
Se 0.2500 0.3824 0.6727  4 Y 2.87-3.06, 3 F 3.02-3.19
Se 0.7500 0.8824 0.8273  4 Y 2.87-3.06, 3 F 3.02-3.19
Se 0.7500 0.6176 0.3273  4 Y 2.87-3.06, 3 F 3.02-3.19
Se 0.2500 0.1176 0.1727  4 Y 2.87-3.06, 3 F 3.02-3.19
F 0.7500 0.3704 0.9589  2 Y 2.18
F 0.2500 0.6296 0.0411  2 Y 2.18
F 0.7500 0.1296 0.4589  2 Y 2.18
F 0.2500 0.8704 0.5411  2 Y 2.18
Y 0.2500 0.6317 0.3236  2 F 2.18
Y 0.2500 0.8683 0.8236  2 F 2.18
Y 0.7500 0.1317 0.1764  2 F 2.18
Y 0.7500 0.3683 0.6764  2 F 2.18

***

# 2
## YSeF2 (GGA-PBE)

Data for crystalline YSeF2 at its relaxed geometry.

Its symmetry is Fm-3m (225). For the energy above the most stable polymorph in this dataset, the calculation gives 542 meV per atom. As for the total DFT energy (no corrections): -22.273 eV for the cell shown. The value obtained for the density of states at the Fermi level is 1.037 states/eV per atom.

Unit cell a=4.4381 b=4.4381 c=4.4381 alpha=60.00 beta=60.00 gamma=60.00
Closest atoms and distances in Å follow each position.
Fractional coordinates of all 4 atoms:
F 0.2500 0.2500 0.2500  4 Se 2.72, 4 Y 2.72
F 0.7500 0.7500 0.7500  4 Se 2.72, 4 Y 2.72
Y 0.5000 0.5000 0.5000  8 F 2.72
Se 0.0000 0.0000 0.0000  8 F 2.72

***

# 3
## YSeF (GGA-PBE)

Data for crystalline YSeF at its relaxed geometry.

Its symmetry is P2_1/m (11). As for the total DFT energy (no corrections): -163.388 eV for the cell shown. The value obtained for the density of states at the Fermi level is 0.000 states/eV per atom.

Unit cell a=4.1315 b=10.0517 c=13.1756 alpha=74.93 beta=90.00 gamma=90.00
Closest atoms and distances in Å follow each position.
Fractional coordinates of all 24 atoms:
F 0.2500 0.8984 0.7078  3 Y 2.29-2.49, 2 F 2.44
F 0.2500 0.0147 0.0397  3 Y 2.32-2.37, 3 F 2.36-2.37
F 0.7500 0.9853 0.9603  3 Y 2.32-2.37, 3 F 2.36-2.37
F 0.2500 0.4481 0.5444  3 Y 2.30-2.36, 2 F 2.47
F 0.7500 0.1016 0.2922  3 Y 2.29-2.49, 2 F 2.44
F 0.7500 0.9315 0.7961  3 Y 2.28-2.39, 3 F 2.36-2.44
F 0.2500 0.0685 0.2039  3 Y 2.28-2.39, 3 F 2.36-2.44
F 0.7500 0.5519 0.4556  3 Y 2.30-2.36, 2 F 2.47
Y 0.2500 0.6235 0.3850  3 F 2.30-2.36
Y 0.2500 0.9599 0.8791  6 F 2.32-2.49
Y 0.2500 0.1187 0.3631  3 F 2.28-2.29
Y 0.2500 0.4552 0.8731  6 Se 2.86-2.89
Y 0.7500 0.5448 0.1269  6 Se 2.86-2.89
Y 0.7500 0.0401 0.1209  6 F 2.32-2.49
Y 0.7500 0.3765 0.6150  3 F 2.30-2.36
Y 0.7500 0.8813 0.6369  3 F 2.28-2.29
Se 0.7500 0.1596 0.5134  4 Y 2.84-2.96, 1 F 3.12
Se 0.2500 0.6703 0.9817  4 Y 2.87-2.89
Se 0.7500 0.7576 0.2345  4 Y 2.85-2.94, 1 F 3.10
Se 0.2500 0.8404 0.4866  4 Y 2.84-2.96, 1 F 3.12
Se 0.2500 0.2424 0.7655  4 Y 2.85-2.94, 1 F 3.10
Se 0.7500 0.5844 0.7303  4 Y 2.87-2.92
Se 0.2500 0.4156 0.2697  4 Y 2.87-2.92
Se 0.7500 0.3297 0.0183  4 Y 2.87-2.89

***

Number 1: formation energy without anion corrections -2782 meV per atom. Number 2: formation energy without anion corrections -2145 meV per atom. Number 3: formation energy without anion corrections -2868 meV per atom.